VASP calculation (GGA-PBE) on Li4Cd4Ga after structural relaxation.

The space group is I4/mmm (No. 139) and the conventional cell measures 8.8419, 8.8419 and 4.2866 Å, with angles of 90.00, 90.00 and 90.00 degrees. The distinct sites, in fractional coordinates, are Li at (0.1592, 0.1592, 0.0000), Cd at (0.0000, 0.3231, 0.5000) and Ga at (0.0000, 0.0000, 0.5000).

The energy of formation comes out at -184 kJ/mol of formula units. The total DFT energy (no corrections) is -0.06636 Ha/atom.